Computed, not measured: a crystal of TlReRh2 relaxed with PBEsol at the SCAN level of DFT.

Unit cell a=9.1252 b=9.1252 c=9.1252 alpha=17.92 beta=17.92 gamma=17.92
With the nearest neighbours (Å) after each atom.
Fractional positions:
Tl (0.0000, 0.0000, 0.0000)  3 Rh 2.81, 6 Tl 2.84, 3 Re 2.99
Re (0.2406, 0.2406, 0.2406)  3 Rh 2.59, 6 Re 2.84
Rh (0.4993, 0.4993, 0.4993)  3 Re 2.59, 9 Rh 2.73-2.84
Rh (0.7515, 0.7515, 0.7515)  9 Rh 2.73-2.84, 3 Tl 2.81

Properties
The energy above the most stable polymorph in this dataset is 0.230 eV per formula unit. As for the space group: R3m, No. 160.

Computed, not measured: a crystal of MnRuPt3 relaxed with PBEsol at the SCAN level of DFT.

Unit cell a=4.7064 b=4.7064 c=4.7064 alpha=90.00 beta=90.00 gamma=90.00
With the nearest neighbours (Å) after each atom.
Fractional positions:
Mn (0.0000, 0.0000, 0.0000)  12 Pt 3.33
Ru (0.5000, 0.5000, 0.5000)  6 Pt 2.35
Pt (0.0000, 0.5000, 0.5000)  2 Ru 2.35
Pt (0.5000, 0.0000, 0.5000)  2 Ru 2.35
Pt (0.5000, 0.5000, 0.0000)  2 Ru 2.35

Properties
As for the space group: Pm-3m, No. 221.

Number 1: ΔE_f 44.9 kJ per mole of atoms, calculated density 15766 kg/m3, calculated total energy -52.284 eV/atom. Number 2: ΔE_f 111.5 kJ per mole of atoms, calculated density 11808 kg/m3, calculated total energy -51.577 eV/atom.